The following is a DFT calculation (GGA-PBE) of crystalline PtBr2 at its relaxed geometry.

Results
V   27.029 Å³/atom
Theoretical density   7.3 g cm⁻³
Total magnetic moment   0.00 μB per cell
Raw total energy   -3.24 eV per atom
Symmetry   P4_2/mnm

Cell and atoms, written as CIF:
```
data_PtBr2
_chemical_formula_sum 'Pt2 Br4'
_cell_length_a 6.576
_cell_length_b 6.576
_cell_length_c 3.751
_cell_angle_alpha 90.00
_cell_angle_beta 90.00
_cell_angle_gamma 90.00
_space_group_name_H-M_alt 'P 1'
_space_group_IT_number 1
_space_group_name_Hall 'P 1'
loop_
_atom_site_label
_atom_site_type_symbol
_atom_site_fract_x
_atom_site_fract_y
_atom_site_fract_z
Br1 Br 0.323 0.323 0.000
Br2 Br 0.677 0.677 0.000
Br3 Br 0.823 0.177 0.500
Pt1 Pt 0.000 0.000 0.000
Pt2 Pt 0.500 0.500 0.500
Br4 Br 0.177 0.823 0.500
```